A plane-wave DFT calculation with PBE was carried out for Pr3Mg3AgIrPd after structural relaxation.

Summary:
Calculated volume, Å³ per cell: 212.5
Mass density, g/cm³: 7.1
E_tot, Ha/atom: -0.1651
M_tot, μB per atom: 0.001

Geometry as CIF:
```
data_Pr3Mg3AgIrPd
_chemical_formula_sum 'Pr3 Mg3 Ag1 Ir1 Pd1'
_space_group_name_H-M_alt 'P 1'
_space_group_IT_number 1
_cell_length_a 7.708
_cell_length_b 7.708
_cell_length_c 4.130
_cell_angle_alpha 90.00
_cell_angle_beta 90.00
_cell_angle_gamma 120.00
loop_
_space_group_symop_operation_xyz
'x,y,z'
loop_
_atom_site_label
_atom_site_fract_x
_atom_site_fract_y
_atom_site_fract_z
Mg1 0.750 0.753 0.500
Mg2 0.003 0.250 0.500
Mg3 0.247 0.997 0.500
Ag1 0.000 0.000 0.000
Pr1 0.012 0.586 0.000
Pr2 0.414 0.426 0.000
Pr3 0.574 0.988 0.000
Pd1 0.667 0.333 0.500
Ir1 0.333 0.667 0.500
```

***

A plane-wave DFT calculation with PBE was carried out for NaTmCdSe3 after structural relaxation.

Summary:
Calculated volume, Å³ per cell: 313.8
Mass density, g/cm³: 5.7
E above lowest polymorph, meV per atom: 34.8
M_tot, μB per atom: 0.000

Geometry as CIF:
```
data_NaTmCdSe3
_chemical_formula_sum 'Na2 Tm2 Cd2 Se6'
_space_group_name_H-M_alt 'P 1'
_space_group_IT_number 1
_cell_length_a 8.968
_cell_length_b 8.968
_cell_length_c 9.125
_cell_angle_alpha 104.85
_cell_angle_beta 104.85
_cell_angle_gamma 26.31
loop_
_space_group_symop_operation_xyz
'x,y,z'
loop_
_atom_site_label
_atom_site_fract_x
_atom_site_fract_y
_atom_site_fract_z
Na1 0.133 0.133 0.571
Na2 0.867 0.867 0.429
Tm1 0.176 0.176 0.096
Tm2 0.824 0.824 0.904
Se1 0.338 0.338 0.130
Se2 0.000 0.000 0.000
Se3 0.677 0.677 0.308
Se4 0.323 0.323 0.692
Se5 0.500 0.500 0.500
Se6 0.662 0.662 0.870
Cd1 0.514 0.514 0.221
Cd2 0.486 0.486 0.779
```

***

A plane-wave DFT calculation with PBE was carried out for GdHoAu2 after structural relaxation.

Summary:
Calculated volume, Å³ per cell: 95.1
Mass density, g/cm³: 12.5
M_tot, μB per atom: 0.001
Formation energy from the elements, eV/atom: -0.880

Geometry as CIF:
```
data_GdHoAu2
_chemical_formula_sum 'Gd1 Ho1 Au2'
_space_group_name_H-M_alt 'P 1'
_space_group_IT_number 1
_cell_length_a 4.661
_cell_length_b 5.791
_cell_length_c 5.791
_cell_angle_alpha 37.47
_cell_angle_beta 90.00
_cell_angle_gamma 90.00
loop_
_space_group_symop_operation_xyz
'x,y,z'
loop_
_atom_site_label
_atom_site_fract_x
_atom_site_fract_y
_atom_site_fract_z
Ho1 0.500 0.360 0.360
Au1 0.500 0.089 0.089
Au2 0.000 0.911 0.911
Gd1 0.000 0.640 0.640
```

***

A plane-wave DFT calculation with PBE was carried out for LiTaAlIr after structural relaxation.

Summary:
Calculated volume, Å³ per cell: 58.2
Mass density, g/cm³: 11.6
E above lowest polymorph, meV per atom: 0.0
M_tot, μB per atom: 0.000

Geometry as CIF:
```
data_LiTaAlIr
_chemical_formula_sum 'Li1 Ta1 Al1 Ir1'
_space_group_name_H-M_alt 'P 1'
_space_group_IT_number 1
_cell_length_a 4.351
_cell_length_b 4.351
_cell_length_c 4.351
_cell_angle_alpha 60.00
_cell_angle_beta 60.00
_cell_angle_gamma 60.00
loop_
_space_group_symop_operation_xyz
'x,y,z'
loop_
_atom_site_label
_atom_site_fract_x
_atom_site_fract_y
_atom_site_fract_z
Al1 0.750 0.750 0.750
Ta1 0.250 0.250 0.250
Li1 0.000 0.000 0.000
Ir1 0.500 0.500 0.500
```

***

A plane-wave DFT calculation with PBE was carried out for K4AsPPd2 after structural relaxation.

Summary:
Calculated volume, Å³ per cell: 223.7
Mass density, g/cm³: 3.5
E_tot, Ha/atom: -0.1286

Geometry as CIF:
```
data_K4AsPPd2
_chemical_formula_sum 'K4 As1 P1 Pd2'
_space_group_name_H-M_alt 'P 1'
_space_group_IT_number 1
_cell_length_a 5.873
_cell_length_b 6.277
_cell_length_c 6.277
_cell_angle_alpha 104.77
_cell_angle_beta 90.00
_cell_angle_gamma 90.00
loop_
_space_group_symop_operation_xyz
'x,y,z'
loop_
_atom_site_label
_atom_site_fract_x
_atom_site_fract_y
_atom_site_fract_z
K1 0.000 0.822 0.481
K2 0.500 0.178 0.523
K3 0.500 0.523 0.178
K4 0.000 0.481 0.822
Pd1 0.250 0.993 0.993
Pd2 0.750 0.993 0.993
As1 0.000 0.252 0.252
P1 0.500 0.757 0.757
```

***

A plane-wave DFT calculation with PBE was carried out for Hf2SnGePd2 after structural relaxation.

Summary:
Calculated volume, Å³ per cell: 488.4
Mass density, g/cm³: 10.4
E_tot, Ha/atom: -0.2644
M_tot, μB per atom: 0.000

Geometry as CIF:
```
data_Hf2SnGePd2
_chemical_formula_sum 'Hf8 Sn4 Ge4 Pd8'
_space_group_name_H-M_alt 'P 1'
_space_group_IT_number 1
_cell_length_a 10.826
_cell_length_b 4.419
_cell_length_c 10.831
_cell_angle_alpha 90.00
_cell_angle_beta 109.50
_cell_angle_gamma 90.00
loop_
_space_group_symop_operation_xyz
'x,y,z'
loop_
_atom_site_label
_atom_site_fract_x
_atom_site_fract_y
_atom_site_fract_z
Hf1 0.878 0.500 0.883
Hf2 0.502 0.000 0.750
Hf3 0.745 0.000 0.495
Hf4 0.372 0.500 0.372
Hf5 0.251 0.000 0.006
Hf6 0.128 0.500 0.620
Hf7 0.623 0.500 0.125
Hf8 0.003 0.000 0.250
Sn1 0.624 0.500 0.625
Sn2 0.375 0.500 0.876
Sn3 0.875 0.500 0.373
Sn4 0.001 0.000 0.751
Pd1 0.493 0.000 0.494
Pd2 0.375 0.500 0.129
Pd3 0.251 0.000 0.746
Pd4 0.129 0.500 0.373
Pd5 0.875 0.500 0.625
Pd6 0.745 0.000 0.244
Pd7 0.002 0.000 0.006
Pd8 0.630 0.500 0.880
Ge1 0.751 0.000 0.001
Ge2 0.250 0.000 0.499
Ge3 0.126 0.500 0.126
Ge4 0.499 0.000 0.249
```